# PBE BePd4Au, relaxed
# ΔE_f in eV/atom: -0.239
data_BePd4Au
_cell_length_a 7.261
_cell_length_b 2.895
_cell_length_c 16.866
_cell_angle_alpha 90.00
_cell_angle_beta 90.00
_cell_angle_gamma 90.00
_space_group_name_H-M_alt 'P n m a'
_space_group_IT_number 62
loop_
_space_group_symop_operation_xyz
'x,y,z'
'-x,-y,-z'
'-x+1/2,-y,z+1/2'
'x+1/2,y,-z+1/2'
'x+1/2,-y+1/2,-z+1/2'
'-x+1/2,y+1/2,z+1/2'
'-x,y+1/2,-z'
'x,-y+1/2,z'
loop_
_atom_site_label
_atom_site_type_symbol
_atom_site_fract_x
_atom_site_fract_y
_atom_site_fract_z
Be1 Be 0.211 0.250 0.060
Pd1 Pd 0.040 0.250 0.565
Pd2 Pd 0.088 0.750 0.706
Pd3 Pd 0.104 0.750 0.156
Pd4 Pd 0.138 0.750 0.957
Au1 Au 0.231 0.750 0.322